(1)
! LaPmFeCu | Alexandria | PBE | relaxed; values from VASP
&SYSTEM
  ibrav = 0, nat = 4, ntyp = 4
/
ATOMIC_SPECIES
La 138.91 La.upf
Pm 145.00 Pm.upf
Fe 55.84 Fe.upf
Cu 63.55 Cu.upf
ATOMIC_POSITIONS crystal
La 0.000 0.000 0.000
Pm 0.500 0.500 0.500
Fe 0.250 0.250 0.250
Cu 0.750 0.750 0.750
CELL_PARAMETERS angstrom
0.000 3.553 3.553
3.553 0.000 3.553
3.553 3.553 0.000
! Electronic total energy: -21.89 eV/cell
! Spin magnetization: 1.06 μB/f.u.

(2)
! PmZnH8Rh2 | Alexandria | PBE | relaxed; values from VASP
&SYSTEM
  ibrav = 0, nat = 12, ntyp = 4
/
ATOMIC_SPECIES
Pm 145.00 Pm.upf
Zn 65.41 Zn.upf
H 1.01 H.upf
Rh 102.91 Rh.upf
ATOMIC_POSITIONS crystal
Pm 0.000 0.000 0.000
Zn 0.500 0.500 0.500
H 0.113 0.402 0.826
H 0.174 0.887 0.598
H 0.309 0.309 0.309
H 0.402 0.826 0.113
H 0.598 0.174 0.887
H 0.691 0.691 0.691
H 0.826 0.113 0.402
H 0.887 0.598 0.174
Rh 0.206 0.206 0.206
Rh 0.794 0.794 0.794
CELL_PARAMETERS angstrom
2.355 1.360 5.527
-2.355 1.360 5.527
0.000 -2.719 5.527
! Electronic total energy: -49.43 eV/cell
! Spin magnetization: 0.00 μB/f.u.

(3)
! CePmEr2P4 | Alexandria | PBE | relaxed; values from VASP
&SYSTEM
  ibrav = 0, nat = 8, ntyp = 4
/
ATOMIC_SPECIES
Ce 140.12 Ce.upf
Pm 145.00 Pm.upf
Er 167.26 Er.upf
P 30.97 P.upf
ATOMIC_POSITIONS crystal
Ce 0.000 0.000 0.000
Pm 0.000 0.500 0.500
Er 0.500 0.000 0.500
Er 0.500 0.500 0.000
P 0.257 0.500 0.250
P 0.258 0.000 0.756
P 0.742 0.000 0.244
P 0.743 0.500 0.750
CELL_PARAMETERS angstrom
6.978 0.000 0.000
0.000 4.040 0.000
-2.328 0.000 6.599
! Electronic total energy: -54.02 eV/cell
! Spin magnetization: 0.44 μB/f.u.

(4)
! CeY12Tm6 | Alexandria | PBE | relaxed; values from VASP
&SYSTEM
  ibrav = 0, nat = 19, ntyp = 3
/
ATOMIC_SPECIES
Ce 140.12 Ce.upf
Y 88.91 Y.upf
Tm 168.93 Tm.upf
ATOMIC_POSITIONS crystal
Ce 0.000 0.000 0.000
Y 0.000 0.263 0.737
Y 0.000 0.737 0.263
Y 0.167 0.592 0.592
Y 0.263 0.000 0.737
Y 0.263 0.737 0.000
Y 0.408 0.408 0.833
Y 0.408 0.833 0.408
Y 0.592 0.167 0.592
Y 0.592 0.592 0.167
Y 0.737 0.000 0.263
Y 0.737 0.263 0.000
Y 0.833 0.408 0.408
Tm 0.140 0.140 0.407
Tm 0.140 0.407 0.140
Tm 0.407 0.140 0.140
Tm 0.593 0.860 0.860
Tm 0.860 0.593 0.860
Tm 0.860 0.860 0.593
CELL_PARAMETERS angstrom
6.532 3.771 4.223
-6.532 3.771 4.223
0.000 -7.542 4.223
! Electronic total energy: -107.50 eV/cell
! Spin magnetization: 1.58 μB/f.u.

(5)
! Hf2ZrTaH | Alexandria | PBE | relaxed; values from VASP
&SYSTEM
  ibrav = 0, nat = 5, ntyp = 4
/
ATOMIC_SPECIES
Hf 178.49 Hf.upf
Zr 91.22 Zr.upf
Ta 180.95 Ta.upf
H 1.01 H.upf
ATOMIC_POSITIONS crystal
Hf 0.000 0.500 0.000
Hf 0.500 0.000 0.000
Zr 0.000 0.000 0.500
Ta 0.500 0.500 0.500
H 0.000 0.000 0.000
CELL_PARAMETERS angstrom
4.530 0.000 0.000
0.000 4.530 0.000
0.000 0.000 4.269
! Spin magnetization: 0.00 μB/f.u.
! E above lowest polymorph: 8 meV/atom

(6)
! NaSnB | Alexandria | PBE | relaxed; values from VASP
&SYSTEM
  ibrav = 0, nat = 3, ntyp = 3
/
ATOMIC_SPECIES
Na 22.99 Na.upf
Sn 118.71 Sn.upf
B 10.81 B.upf
ATOMIC_POSITIONS crystal
Na 0.000 0.000 0.000
Sn 0.667 0.333 0.500
B 0.333 0.667 0.500
CELL_PARAMETERS angstrom
3.896 0.000 0.000
-1.948 3.374 0.000
0.000 0.000 4.835
! Electronic total energy: -11.02 eV/cell
! Spin magnetization: 0.00 μB/f.u.

(7)
! TiCrS2 | Alexandria | PBE | relaxed; values from VASP
&SYSTEM
  ibrav = 0, nat = 8, ntyp = 3
/
ATOMIC_SPECIES
Ti 47.87 Ti.upf
Cr 52.00 Cr.upf
S 32.06 S.upf
ATOMIC_POSITIONS crystal
Ti 0.000 0.000 0.000
Ti 0.750 0.250 0.500
Cr 0.250 0.750 0.500
Cr 0.500 0.500 0.000
S 0.126 0.625 0.001
S 0.375 0.376 0.501
S 0.624 0.125 0.999
S 0.875 0.874 0.499
CELL_PARAMETERS angstrom
-2.728 2.728 5.400
2.728 -2.728 5.400
2.728 2.728 -5.400
! Energy relative to the elements, uncorrected: -16.105 kcal/mol of atoms
! Spin magnetization: 4.08 μB/f.u.
! E above lowest polymorph: 259 meV/atom

(8)
! SrZrCo2 | Alexandria | PBE | relaxed; values from VASP
&SYSTEM
  ibrav = 0, nat = 4, ntyp = 3
/
ATOMIC_SPECIES
Sr 87.62 Sr.upf
Zr 91.22 Zr.upf
Co 58.93 Co.upf
ATOMIC_POSITIONS crystal
Sr 0.000 0.000 0.000
Zr 0.500 0.500 0.397
Co 0.000 0.000 0.594
Co 0.500 0.500 0.708
CELL_PARAMETERS angstrom
3.259 0.000 0.000
0.000 3.259 0.000
0.000 0.000 7.862
! Spin magnetization: 2.66 μB/f.u.
! E above lowest polymorph: 257 meV/atom